Crystalline NdEuHfMnO6 at its relaxed geometry, computed with PBE+U.

Output
calculated volume = 528 Å³ per cell
energy = -8.9931 eV per atom

abc: 8.082 8.082 8.082
angles: 90.00 90.00 90.00
Space group F-43m (No. 216)
One atom of each set of equivalent atoms:
1 Nd 0.000 0.000 0.000 (multiplicity 4)
2 Eu 0.000 0.000 0.500 (multiplicity 4)
3 Hf 0.250 0.250 0.750 (multiplicity 4)
4 Mn 0.250 0.250 0.250 (multiplicity 4)
5 O 0.002 0.250 0.250 (multiplicity 24)